--- one ---
Li2CrRh: relaxed, PBE.

Cell and atoms, written as POSCAR:
```
Li2CrRh
1.0
8.740 0.000 0.000
0.000 2.856 0.000
-1.270 0.000 4.540
Li Cr Rh
4 2 2
direct
0.000 0.000 0.000
0.246 0.000 0.851
0.500 0.500 0.000
0.746 0.500 0.851
0.262 0.500 0.371
0.762 0.000 0.371
0.006 0.500 0.491
0.506 0.000 0.491
```

Results
The theoretical density is 4.95 g cm⁻³. The total magnetization comes out at 5.854 Bohr magnetons per cell. Its space-group type is No. 8.



--- two ---
Li2CrRh: relaxed, PBE.

Cell and atoms, written as POSCAR:
```
Li2CrRh
1.0
5.841 0.000 0.000
0.000 5.841 0.000
0.000 0.000 5.841
Li Cr Rh
8 4 4
direct
0.000 0.000 0.000
0.000 0.500 0.500
0.250 0.250 0.250
0.250 0.750 0.750
0.500 0.000 0.500
0.500 0.500 0.000
0.750 0.250 0.750
0.750 0.750 0.250
0.250 0.250 0.750
0.250 0.750 0.250
0.750 0.250 0.250
0.750 0.750 0.750
0.000 0.000 0.500
0.000 0.500 0.000
0.500 0.000 0.000
0.500 0.500 0.500
```

Results
The theoretical density is 5.63 g cm⁻³. The total magnetization comes out at 2.567 Bohr magnetons per cell. Its space-group type is No. 216.



Ranking the structures above from most stable to least stable yields one, two.